{"formula": "Li3VO2F2", "functional": "PBE with a Hubbard U", "state": "relaxed", "cell": [[-0.173, -2.473, 1.573], [1.418, -2.735, -4.144], [4.146, 1.440, 2.721]], "species": ["Li", "Li", "Li", "V", "O", "O", "F", "F"], "frac_coords": [[0.000, 0.500, 0.500], [0.500, 0.500, 0.000], [0.500, 0.000, 0.500], [0.000, 0.000, 0.000], [0.500, 0.766, 0.766], [0.500, 0.234, 0.234], [0.000, 0.248, 0.752], [0.000, 0.752, 0.248]], "dft_energy_ry_per_atom": -0.4269, "e_above_lowest_polymorph_ev_per_atom": 0.000}